FeIrN2F: relaxed, PBE with a Hubbard U.

Values from the calculation:
Calculated density = 8.7 Mg/m³
Symmetry = P4/mmm, No. 123
Volume = 56.47 Å³/cell
E_tot = -27.26 eV per cell

extended XYZ file:
```
5
Lattice="3.9270 0.0000 0.0000 0.0000 3.9270 0.0000 0.0000 0.0000 3.6616" Properties=species:S:1:pos:R:3 pbc="T T T"
Fe 0.0000 0.0000 0.0000
Ir 1.9635 1.9635 1.8308
N 0.0000 1.9635 0.0000
N 1.9635 0.0000 0.0000
F 0.0000 0.0000 1.8308
```